Below is an optimized crystal structure of TcSnSe4, with properties calculated at the PBE-GGA level.

Geometry as CIF:
```
data_TcSnSe4
_cell_length_a 6.739
_cell_length_b 6.925
_cell_length_c 7.680
_cell_angle_alpha 116.71
_cell_angle_beta 93.09
_cell_angle_gamma 106.19
_space_group_name_H-M_alt 'P -1'
_space_group_IT_number 2
loop_
_space_group_symop_operation_xyz
'x,y,z'
'-x,-y,-z'
loop_
_atom_site_label
_atom_site_fract_x
_atom_site_fract_y
_atom_site_fract_z
Tc1 0.000 0.203 0.000
Sn1 0.005 0.264 0.524
Se1 0.222 0.512 0.902
Se2 0.246 0.996 0.860
Se3 0.248 0.995 0.330
Se4 0.250 0.468 0.327
```

Values from the calculation:
- total DFT energy (no corrections) (eV per atom) = -5.02
- magnetic moment (μB/atom) = 0.07